Record 1
Material: Ge5Ir4
Method: DFT, meta-GGA SCAN
State: PBEsol geometry

a = 5.6137 Å, b = 5.6137 Å, c = 18.3722 Å
α = 90.00°, β = 90.00°, γ = 90.00°
Space group P-4c2 (No. 116)
Symmetry-distinct sites (fractional):
1 Ge 0.1438 0.2254 0.1450 (multiplicity 8)
2 Ge 0.1967 0.3432 0.9446 (multiplicity 8)
3 Ge 0.3230 0.3230 0.7500 (multiplicity 4)
4 Ir 0.0000 0.0000 0.0000 (multiplicity 2)
5 Ir 0.0000 0.0000 0.2500 (multiplicity 2)
6 Ir 0.0000 0.5000 0.0555 (multiplicity 4)
7 Ir 0.0000 0.5000 0.3230 (multiplicity 4)
8 Ir 0.5000 0.5000 0.1359 (multiplicity 4)

Results
Formation energy ... -4.01 eV per formula unit
Crystal system ... tetragonal
Mass density ... 12.99 g/cm3
Volume ... 16.1 Å³ per atom

Record 2
Material: Ge3Ir
Method: DFT, meta-GGA SCAN
State: PBEsol geometry

a = 6.3319 Å, b = 6.3319 Å, c = 6.3319 Å
α = 90.00°, β = 90.00°, γ = 90.00°
Space group Fm-3m (No. 225)
Symmetry-distinct sites (fractional):
1 Ge 0.0000 0.0000 0.0000 (multiplicity 4)
2 Ge 0.2500 0.2500 0.2500 (multiplicity 8)
3 Ir 0.0000 0.0000 0.5000 (multiplicity 4)

Results
Formation energy ... 1.18 eV per formula unit
Crystal system ... cubic
Mass density ... 10.73 g/cm3
Volume ... 15.9 Å³ per atom

Record 3
Material: Ge4Ir
Method: DFT, meta-GGA SCAN
State: PBEsol geometry

a = 6.1983 Å, b = 6.1983 Å, c = 7.7804 Å
α = 90.00°, β = 90.00°, γ = 120.00°
Space group P3_121 (No. 152)
Symmetry-distinct sites (fractional):
1 Ge 0.0000 0.0824 0.1667 (multiplicity 3)
2 Ge 0.0000 0.6186 0.1667 (multiplicity 3)
3 Ge 0.2207 0.4852 0.9483 (multiplicity 6)
4 Ir 0.0000 0.3155 0.6667 (multiplicity 3)

Results
Formation energy ... -1.13 eV per formula unit
Crystal system ... trigonal
Mass density ... 9.29 g/cm3
Volume ... 17.3 Å³ per atom

Question: Which formula does entry 2 have?
Answer: Ge3Ir